DFT (PBE) results for a geometry-optimized As5P structure.

POSCAR file:
```
As5P
1.0
2.6618 0.0000 0.0000
0.0000 2.6618 0.0000
0.0000 0.0000 16.5097
As P
5 1
Direct
0.0000 0.0000 0.0000
0.0000 0.0000 0.3469
0.0000 0.0000 0.6531
0.5000 0.5000 0.1706
0.5000 0.5000 0.8294
0.5000 0.5000 0.5000
```

Computed properties:
polymorph energy (0 for the lowest one): 434.9 meV/atom